1.
A plane-wave DFT calculation with PBE was carried out for crystalline Ir2PdCl at its relaxed geometry.

POSCAR file:
```
Ir2PdCl
1.0
-1.8148 1.8148 10.3085
1.8148 -1.8148 10.3085
1.8148 1.8148 -10.3085
Ir Pd Cl
4 2 2
Cartesian
2.7223 0.8785 -2.5771 Ir
0.8785 0.9074 2.5771 Ir
-0.9074 0.9363 7.7314 Ir
0.9363 0.9074 12.8857 Ir
0.0000 0.0000 0.0000 Pd
0.0000 1.8148 5.1543 Pd
1.8148 0.0000 5.1543 Cl
0.0000 0.0000 10.3085 Cl
```

2.
A plane-wave DFT calculation with PBE was carried out for crystalline Ir2PdCl at its relaxed geometry.

POSCAR file:
```
Ir2PdCl
1.0
0.0000 3.1394 3.1394
3.1394 0.0000 3.1394
3.1394 3.1394 0.0000
Ir Pd Cl
2 1 1
Cartesian
1.5697 1.5697 1.5697 Ir
4.7091 4.7091 4.7091 Ir
0.0000 0.0000 0.0000 Pd
3.1394 3.1394 3.1394 Cl
```

Which structure is most stable? 1, by 169 meV/atom over the runner-up.

1.
A plane-wave DFT calculation with PBE was carried out for crystalline Ir3PdCl at its relaxed geometry.

POSCAR file:
```
Ir3PdCl
1.0
4.8450 0.0000 0.0000
0.0000 4.8450 0.0000
0.0000 0.0000 4.8450
Ir Pd Cl
3 1 1
Cartesian
0.0000 0.0000 2.4225 Ir
0.0000 2.4225 0.0000 Ir
2.4225 0.0000 0.0000 Ir
0.0000 0.0000 0.0000 Pd
2.4225 2.4225 2.4225 Cl
```

2.
A plane-wave DFT calculation with PBE was carried out for crystalline Ir3PdCl at its relaxed geometry.

POSCAR file:
```
Ir3PdCl
1.0
4.4012 0.0000 0.0000
0.0000 4.4012 0.0000
0.0000 0.0000 4.4012
Ir Pd Cl
3 1 1
Cartesian
0.0000 0.0000 2.2006 Ir
0.0000 2.2006 0.0000 Ir
2.2006 0.0000 0.0000 Ir
2.2006 2.2006 2.2006 Pd
0.0000 0.0000 0.0000 Cl
```

Which structure is most stable? 2, by 770 meV/atom over the runner-up.

1.
A plane-wave DFT calculation with PBE was carried out for crystalline IrPdSCl2 at its relaxed geometry.

POSCAR file:
```
IrPdSCl2
1.0
4.7090 0.0000 0.0000
0.0000 4.7090 0.0000
0.0000 0.0000 4.8041
Ir Pd S Cl
1 1 1 2
Cartesian
0.0000 0.0000 0.0000 Ir
2.3545 2.3545 2.4020 Pd
2.3545 2.3545 0.0000 S
0.0000 2.3545 2.4020 Cl
2.3545 0.0000 2.4020 Cl
```

2.
A plane-wave DFT calculation with PBE was carried out for crystalline IrPdSCl2 at its relaxed geometry.

POSCAR file:
```
IrPdSCl2
1.0
5.0172 0.0000 0.0000
0.0000 5.0172 0.0000
0.0000 0.0000 4.3722
Ir Pd S Cl
1 1 1 2
Cartesian
0.0000 0.0000 0.0000 Ir
2.5086 2.5086 2.1861 Pd
0.0000 0.0000 2.1861 S
0.0000 2.5086 0.0000 Cl
2.5086 0.0000 0.0000 Cl
```

Which structure is most stable? 2, by 566 meV/atom over the runner-up.